The following is a PBE calculation of an optimized crystal structure of PmThBe, from the Alexandria database.

Values from the calculation:
The value obtained for the density is 8.20 g/cm3. The calculation puts the electronic total energy at -31.17 eV for the cell shown.

Unit cell a=3.799 b=3.884 c=10.771 alpha=79.61 beta=90.00 gamma=90.00
Positions (direct):
Be (0.250, 0.526, 0.949)
Be (0.750, 0.474, 0.051)
Pm (0.250, 0.689, 0.622)
Th (0.750, 0.078, 0.844)
Pm (0.750, 0.311, 0.378)
Th (0.250, 0.922, 0.156)



The following is a PBE calculation of an optimized crystal structure of Pm2ThBe, from the Alexandria database.

Values from the calculation:
The value obtained for the density is 7.11 g/cm3. The energy above the most stable polymorph in this dataset comes out at 2.26 eV/f.u. The calculation puts the electronic total energy at -17.87 eV for the cell shown.

Unit cell a=3.531 b=3.531 c=11.660 alpha=81.29 beta=81.29 gamma=60.00
Positions (direct):
Pm (0.085, 0.085, 0.746)
Pm (0.915, 0.915, 0.254)
Be (0.000, 0.000, 0.000)
Th (0.500, 0.500, 0.500)



Question: The highest density belongs to which entry?
Answer: PmThBe